Entry 1:
Here is a geometry-optimized Er2H2Ir structure from Alexandria via LeMat-Bulk. Energies are from PBE.

Properties
Its density of states at the Fermi level is 1.71 states/eV/f.u. The volume is 73.7 Å³ per cell. Its calculated total energy is -5.579 eV per atom.

Cell lengths 3.3145, 3.3145, 6.7062 Å; angles 90.00, 90.00, 90.00 degrees
Closest atoms and distances in Å follow each position.
Fractional positions:
Er 0.0000 0.0000 0.2387  4 H 2.30
Er 0.0000 0.0000 0.7613  4 H 2.30
H 0.0000 0.5000 0.0000  4 Er 2.30, 4 H 2.34
H 0.5000 0.0000 0.0000  4 Er 2.30, 4 H 2.34
Ir 0.5000 0.5000 0.5000  8 Er 2.93

***

Entry 2:
Here is a geometry-optimized La12Tb3Ho structure from Alexandria via LeMat-Bulk. Energies are from PBE.

Properties
Its density of states at the Fermi level is 22.63 states/eV/f.u. The volume is 565.5 Å³ per cell. The value obtained for the formation energy from the elements is 8 meV per atom. Its calculated total energy is -4.842 eV per atom.

Cell lengths 5.2115, 5.2115, 20.8209 Å; angles 90.00, 90.00, 90.00 degrees
Closest atoms and distances in Å follow each position.
Fractional positions:
La 0.0000 0.0000 0.0000  4 Tb 3.69, 8 La 3.69
La 0.0000 0.0000 0.2502  8 La 3.68-3.69, 4 Tb 3.69
La 0.0000 0.0000 0.5000  8 La 3.68, 4 Ho 3.69
La 0.0000 0.0000 0.7498  8 La 3.68-3.69, 4 Tb 3.69
La 0.0000 0.5000 0.1252  8 La 3.68-3.69, 4 Tb 3.68-3.69
La 0.0000 0.5000 0.3754  2 Ho 3.68, 8 La 3.68-3.69, 2 Tb 3.68
La 0.0000 0.5000 0.6246  8 La 3.68-3.69, 2 Ho 3.68, 2 Tb 3.68
La 0.0000 0.5000 0.8748  8 La 3.68-3.69, 4 Tb 3.68-3.69
La 0.5000 0.0000 0.1252  8 La 3.68-3.69, 4 Tb 3.68-3.69
La 0.5000 0.0000 0.3754  2 Ho 3.68, 8 La 3.68-3.69, 2 Tb 3.68
La 0.5000 0.0000 0.6246  8 La 3.68-3.69, 2 Ho 3.68, 2 Tb 3.68
La 0.5000 0.0000 0.8748  8 La 3.68-3.69, 4 Tb 3.68-3.69
Tb 0.5000 0.5000 0.0000  12 La 3.69
Tb 0.5000 0.5000 0.2503  12 La 3.68-3.69
Tb 0.5000 0.5000 0.7497  12 La 3.68-3.69
Ho 0.5000 0.5000 0.5000  12 La 3.68-3.69

***

Look up the calculated total energy of the first one. -5.579 eV per atom

***

Repeat the first record exactly.
Here is a geometry-optimized Er2H2Ir structure from Alexandria via LeMat-Bulk. Energies are from PBE.

Properties
Its density of states at the Fermi level is 1.71 states/eV/f.u. The volume is 73.7 Å³ per cell. Its calculated total energy is -5.579 eV per atom.

Cell lengths 3.3145, 3.3145, 6.7062 Å; angles 90.00, 90.00, 90.00 degrees
Closest atoms and distances in Å follow each position.
Fractional positions:
Er 0.0000 0.0000 0.2387  4 H 2.30
Er 0.0000 0.0000 0.7613  4 H 2.30
H 0.0000 0.5000 0.0000  4 Er 2.30, 4 H 2.34
H 0.5000 0.0000 0.0000  4 Er 2.30, 4 H 2.34
Ir 0.5000 0.5000 0.5000  8 Er 2.93